[1]
# ErSi2Ru4 (PBE, optimized geometry)
data_ErSi2Ru4
_chemical_formula_sum 'Er2 Si4 Ru8'
_cell_length_a 7.4906
_cell_length_b 7.4906
_cell_length_c 3.8646
_cell_angle_alpha 90.00
_cell_angle_beta 90.00
_cell_angle_gamma 90.00
_symmetry_space_group_name_H-M 'P 42/m n m'
_symmetry_Int_Tables_number 136
_symmetry_space_group_name_Hall '-P 4n 2n'
loop_
_atom_site_label
_atom_site_fract_x
_atom_site_fract_y
_atom_site_fract_z
_atom_site_occupancy
Er1 0.0000 0.0000 0.0000 1
Si1 0.2177 0.2177 0.5000 1
Ru1 0.0792 0.6602 0.5000 1
# - N(E_F): 5.6 states/eV/f.u.
# - Calculated volume: 217 Å³/cell
# - Formation energy (no corrections): -618 meV/atom

=====

[2]
# ErSi7Ru3 (PBE, optimized geometry)
data_ErSi7Ru3
_chemical_formula_sum 'Er6 Si42 Ru18'
_cell_length_a 7.6186
_cell_length_b 7.6186
_cell_length_c 19.9182
_cell_angle_alpha 90.00
_cell_angle_beta 90.00
_cell_angle_gamma 120.00
_symmetry_space_group_name_H-M 'R -3 c'
_symmetry_Int_Tables_number 167
_symmetry_space_group_name_Hall '-R 3 2"c'
loop_
_atom_site_label
_atom_site_fract_x
_atom_site_fract_y
_atom_site_fract_z
_atom_site_occupancy
Er1 0.0000 0.0000 0.0000 1
Si1 0.0000 0.0000 0.2500 1
Si2 0.0084 0.2012 0.1381 1
Ru1 0.0000 0.3280 0.2500 1
# - N(E_F): 5.9 states/eV/f.u.
# - Calculated volume: 1001 Å³/cell
# - Formation energy (no corrections): -545 meV/atom

=====

[3]
# ErSi3Ru (PBE, optimized geometry)
data_ErSi3Ru
_chemical_formula_sum 'Er2 Si6 Ru2'
_cell_length_a 5.5785
_cell_length_b 5.4522
_cell_length_c 5.8089
_cell_angle_alpha 90.00
_cell_angle_beta 107.17
_cell_angle_gamma 90.00
_symmetry_space_group_name_H-M 'P 1 21/m 1'
_symmetry_Int_Tables_number 11
loop_
_symmetry_equiv_pos_as_xyz
'x,y,z'
'-x,-y,-z'
'-x,y+1/2,-z'
'x,-y+1/2,z'
loop_
_atom_site_label
_atom_site_fract_x
_atom_site_fract_y
_atom_site_fract_z
_atom_site_occupancy
Er1 0.2109 0.2500 0.2093 1
Si1 0.2754 0.5034 0.7562 1
Si2 0.3422 0.7500 0.1392 1
Ru1 0.0899 0.7500 0.4069 1
# - N(E_F): 1.9 states/eV/f.u.
# - Calculated volume: 169 Å³/cell
# - Formation energy (no corrections): -571 meV/atom

=====

[4]
# ErSiRu (PBE, optimized geometry)
data_ErSiRu
_chemical_formula_sum 'Er1 Si1 Ru1'
_cell_length_a 4.2421
_cell_length_b 4.2421
_cell_length_c 3.5371
_cell_angle_alpha 90.00
_cell_angle_beta 90.00
_cell_angle_gamma 120.00
_symmetry_space_group_name_H-M 'P -6 m 2'
_symmetry_Int_Tables_number 187
_symmetry_space_group_name_Hall 'P -6 2'
loop_
_atom_site_label
_atom_site_fract_x
_atom_site_fract_y
_atom_site_fract_z
_atom_site_occupancy
Er1 0.0000 0.0000 0.0000 1
Si1 0.3333 0.6667 0.5000 1
Ru1 0.6667 0.3333 0.5000 1
# - N(E_F): 2.6 states/eV/f.u.
# - Calculated volume: 55 Å³/cell
# - Formation energy (no corrections): -655 meV/atom

=====

[5]
# Er2SiRu2 (PBE, optimized geometry)
data_Er2SiRu2
_chemical_formula_sum 'Er8 Si4 Ru8'
_cell_length_a 10.1112
_cell_length_b 5.4317
_cell_length_c 7.2581
_cell_angle_alpha 90.00
_cell_angle_beta 102.80
_cell_angle_gamma 90.00
_symmetry_space_group_name_H-M 'C 1 2/c 1'
_symmetry_Int_Tables_number 15
loop_
_symmetry_equiv_pos_as_xyz
'x,y,z'
'-x,-y,-z'
'-x,y,-z+1/2'
'x,-y,z+1/2'
'x+1/2,y+1/2,z'
'-x+1/2,-y+1/2,-z'
'-x+1/2,y+1/2,-z+1/2'
'x+1/2,-y+1/2,z+1/2'
loop_
_atom_site_label
_atom_site_fract_x
_atom_site_fract_y
_atom_site_fract_z
_atom_site_occupancy
Er1 0.1423 0.1422 0.1426 1
Si1 0.0000 0.4018 0.7500 1
Ru1 0.1331 0.3560 0.5135 1
# - N(E_F): 2.6 states/eV/f.u.
# - Calculated volume: 389 Å³/cell
# - Formation energy (no corrections): -636 meV/atom

=====

[6]
# ErSiRu (PBE, optimized geometry)
data_ErSiRu
_chemical_formula_sum 'Er4 Si4 Ru4'
_cell_length_a 6.9416
_cell_length_b 4.2941
_cell_length_c 7.1159
_cell_angle_alpha 90.00
_cell_angle_beta 90.00
_cell_angle_gamma 90.00
_symmetry_space_group_name_H-M 'P n m a'
_symmetry_Int_Tables_number 62
loop_
_symmetry_equiv_pos_as_xyz
'x,y,z'
'-x,-y,-z'
'-x+1/2,-y,z+1/2'
'x+1/2,y,-z+1/2'
'x+1/2,-y+1/2,-z+1/2'
'-x+1/2,y+1/2,z+1/2'
'-x,y+1/2,-z'
'x,-y+1/2,z'
loop_
_atom_site_label
_atom_site_fract_x
_atom_site_fract_y
_atom_site_fract_z
_atom_site_occupancy
Er1 0.0121 0.2500 0.1874 1
Si1 0.1972 0.2500 0.6067 1
Ru1 0.1550 0.7500 0.4344 1
# - N(E_F): 2.6 states/eV/f.u.
# - Calculated volume: 212 Å³/cell
# - Formation energy (no corrections): -855 meV/atom

=====

[7]
# Er3Si2Ru5 (PBE, optimized geometry)
data_Er3Si2Ru5
_chemical_formula_sum 'Er6 Si4 Ru10'
_cell_length_a 10.1226
_cell_length_b 10.1226
_cell_length_c 3.3170
_cell_angle_alpha 90.00
_cell_angle_beta 90.00
_cell_angle_gamma 90.00
_symmetry_space_group_name_H-M 'P 4/m b m'
_symmetry_Int_Tables_number 127
_symmetry_space_group_name_Hall '-P 4 2ab'
loop_
_atom_site_label
_atom_site_fract_x
_atom_site_fract_y
_atom_site_fract_z
_atom_site_occupancy
Er1 0.0000 0.0000 0.0000 1
Er2 0.1730 0.3270 0.0000 1
Si1 0.1255 0.6255 0.0000 1
Ru1 0.0000 0.5000 0.5000 1
Ru2 0.0709 0.7844 0.5000 1
# - N(E_F): 6.0 states/eV/f.u.
# - Calculated volume: 340 Å³/cell
# - Formation energy (no corrections): -638 meV/atom

=====

[8]
# Er3Si8Ru3 (PBE, optimized geometry)
data_Er3Si8Ru3
_chemical_formula_sum 'Er6 Si16 Ru6'
_cell_length_a 14.9727
_cell_length_b 4.1314
_cell_length_c 8.4409
_cell_angle_alpha 90.00
_cell_angle_beta 119.09
_cell_angle_gamma 90.00
_symmetry_space_group_name_H-M 'C 1 2/m 1'
_symmetry_Int_Tables_number 12
loop_
_symmetry_equiv_pos_as_xyz
'x,y,z'
'-x,-y,-z'
'-x,y,-z'
'x,-y,z'
'x+1/2,y+1/2,z'
'-x+1/2,-y+1/2,-z'
'-x+1/2,y+1/2,-z'
'x+1/2,-y+1/2,z'
loop_
_atom_site_label
_atom_site_fract_x
_atom_site_fract_y
_atom_site_fract_z
_atom_site_occupancy
Er1 0.0000 0.0000 0.0000 1
Er2 0.2053 0.5000 0.6555 1
Si1 0.0156 0.5000 0.7025 1
Si2 0.1162 0.0000 0.3827 1
Si3 0.1379 0.5000 0.2515 1
Si4 0.1410 0.0000 0.8404 1
Ru1 0.0000 0.0000 0.5000 1
Ru2 0.1744 0.5000 0.0063 1
# - N(E_F): 5.0 states/eV/f.u.
# - Calculated volume: 456 Å³/cell
# - Formation energy (no corrections): -663 meV/atom

=====

[9]
# Er2Si5Ru3 (PBE, optimized geometry)
data_Er2Si5Ru3
_chemical_formula_sum 'Er8 Si20 Ru12'
_cell_length_a 9.5904
_cell_length_b 12.1297
_cell_length_c 5.5797
_cell_angle_alpha 90.00
_cell_angle_beta 90.00
_cell_angle_gamma 90.00
_symmetry_space_group_name_H-M 'I b a m'
_symmetry_Int_Tables_number 72
_symmetry_space_group_name_Hall '-I 2 2c'
loop_
_atom_site_label
_atom_site_fract_x
_atom_site_fract_y
_atom_site_fract_z
_atom_site_occupancy
Er1 0.2323 0.1360 0.0000 1
Si1 0.0000 0.0000 0.2500 1
Si2 0.0000 0.2928 0.2500 1
Si3 0.1699 0.4049 0.0000 1
Ru1 0.0000 0.5000 0.2500 1
Ru2 0.0925 0.1466 0.5000 1
# - N(E_F): 2.5 states/eV/f.u.
# - Calculated volume: 649 Å³/cell
# - Formation energy (no corrections): -849 meV/atom

=====

[10]
# Er3Si4Ru (PBE, optimized geometry)
data_Er3Si4Ru
_chemical_formula_sum 'Er6 Si8 Ru2'
_cell_length_a 4.2047
_cell_length_b 5.5798
_cell_length_c 14.4771
_cell_angle_alpha 90.00
_cell_angle_beta 90.00
_cell_angle_gamma 90.00
_symmetry_space_group_name_H-M 'I m m m'
_symmetry_Int_Tables_number 71
_symmetry_space_group_name_Hall '-I 2 2'
loop_
_atom_site_label
_atom_site_fract_x
_atom_site_fract_y
_atom_site_fract_z
_atom_site_occupancy
Er1 0.0000 0.0000 0.0000 1
Er2 0.0000 0.5000 0.1949 1
Si1 0.0000 0.2908 0.3789 1
Ru1 0.0000 0.0000 0.5000 1
# - N(E_F): 5.2 states/eV/f.u.
# - Calculated volume: 340 Å³/cell
# - Formation energy (no corrections): -549 meV/atom

=====

[11]
# Er2TaSi2Ru5 (PBE, optimized geometry)
data_Er2TaSi2Ru5
_chemical_formula_sum 'Er4 Ta2 Si4 Ru10'
_cell_length_a 10.0333
_cell_length_b 10.0333
_cell_length_c 3.2238
_cell_angle_alpha 90.00
_cell_angle_beta 90.00
_cell_angle_gamma 90.00
_symmetry_space_group_name_H-M 'P 4/m b m'
_symmetry_Int_Tables_number 127
_symmetry_space_group_name_Hall '-P 4 2ab'
loop_
_atom_site_label
_atom_site_fract_x
_atom_site_fract_y
_atom_site_fract_z
_atom_site_occupancy
Er1 0.1732 0.3268 0.0000 1
Ta1 0.0000 0.0000 0.0000 1
Si1 0.1261 0.6261 0.0000 1
Ru1 0.0000 0.5000 0.5000 1
Ru2 0.0676 0.7922 0.5000 1
# - N(E_F): 4.7 states/eV/f.u.
# - Calculated volume: 325 Å³/cell
# - Formation energy (no corrections): -709 meV/atom

=====

[12]
# ErSi3TcRu (PBE, optimized geometry)
data_ErSi3TcRu
_chemical_formula_sum 'Er4 Si12 Tc4 Ru4'
_cell_length_a 7.6958
_cell_length_b 10.8440
_cell_length_c 5.4807
_cell_angle_alpha 90.00
_cell_angle_beta 90.00
_cell_angle_gamma 90.00
_symmetry_space_group_name_H-M 'C m c m'
_symmetry_Int_Tables_number 63
_symmetry_space_group_name_Hall '-C 2c 2'
loop_
_atom_site_label
_atom_site_fract_x
_atom_site_fract_y
_atom_site_fract_z
_atom_site_occupancy
Er1 0.0000 0.2436 0.2500 1
Si1 0.0000 0.2569 0.7500 1
Si2 0.2496 0.0000 0.0000 1
Tc1 0.0000 0.0523 0.7500 1
Ru1 0.0000 0.4583 0.7500 1
# - N(E_F): 1.7 states/eV/f.u.
# - Calculated volume: 457 Å³/cell
# - Formation energy (no corrections): -356 meV/atom

=====

Taking the records one at a time from the top gives uncorrected energy values of -8.120; -6.940; -6.592; -7.075; -7.256; -7.276; -7.730; -6.728; -7.256; -6.131; -8.529; -7.102 eV/atom.